# 1
DFT (PBE) results for a geometry-optimized Cs2AgSb2 structure.

Computed properties:
**Energy relative to the elements, uncorrected**: -0.026 eV per atom
**Total DFT energy (no corrections)**: -0.190 Ry/atom

a b c (Å): 7.6631 7.6631 8.2706
angles (deg): 90.00 90.00 90.00
Space group I4/mmm (No. 139)
Inequivalent atoms, fractional coordinates:
Cs  0.0000  0.5000  0.2500
Ag  0.0000  0.0000  0.0000
Sb  0.0000  0.0000  0.3291

# 2
DFT (PBE) results for a geometry-optimized InHgPS2 structure.

Computed properties:
**Energy relative to the elements, uncorrected**: 0.739 eV per atom
**Total DFT energy (no corrections)**: -0.191 Ry/atom

a b c (Å): 5.0179 5.0179 5.3198
angles (deg): 90.00 90.00 90.00
Space group P4/mmm (No. 123)
Inequivalent atoms, fractional coordinates:
In  0.0000  0.0000  0.0000
Hg  0.5000  0.5000  0.5000
P  0.0000  0.0000  0.5000
S  0.0000  0.5000  0.0000

# 3
DFT (PBE) results for a geometry-optimized LaTb2Nd3Er6 structure.

Computed properties:
**Energy of formation from the pure elements**: 0.02 eV per atom
**Total DFT energy (no corrections)**: -0.341 Ry/atom

a b c (Å): 6.2152 10.7613 11.7829
angles (deg): 90.00 100.09 90.00
Space group C2/m (No. 12)
Inequivalent atoms, fractional coordinates:
La  0.0000  0.0000  0.0000
Tb  0.0000  0.3333  0.0000
Nd  0.0000  0.1671  0.5000
Nd  0.0000  0.5000  0.5000
Er  0.2493  0.3328  0.7508
Er  0.2489  0.5000  0.2494

# 4
DFT (PBE) results for a geometry-optimized NaAs2Br structure.

Computed properties:
**Energy relative to the elements, uncorrected**: 0.462 eV per atom
**Total DFT energy (no corrections)**: -0.192 Ry/atom

a b c (Å): 7.1705 7.1705 7.1705
angles (deg): 90.00 90.00 90.00
Space group Fm-3m (No. 225)
Inequivalent atoms, fractional coordinates:
Na  0.0000  0.0000  0.0000
As  0.2500  0.2500  0.2500
Br  0.0000  0.0000  0.5000

# 5
DFT (PBE) results for a geometry-optimized NaPuBi2 structure.

Computed properties:
**Energy of formation from the pure elements**: -0.24 eV per atom
**Total DFT energy (no corrections)**: -0.448 Ry/atom

a b c (Å): 7.7966 7.7966 7.7966
angles (deg): 90.00 90.00 90.00
Space group Fm-3m (No. 225)
Inequivalent atoms, fractional coordinates:
Na  0.0000  0.0000  0.0000
Pu  0.0000  0.0000  0.5000
Bi  0.2500  0.2500  0.2500

# 6
DFT (PBE) results for a geometry-optimized CoCuNi2 structure.

Computed properties:
**Energy of formation from the pure elements**: 0.09 eV per atom
**Total DFT energy (no corrections)**: -0.412 Ry/atom

a b c (Å): 3.5764 3.5764 3.4925
angles (deg): 90.00 90.00 90.00
Space group P4/mmm (No. 123)
Inequivalent atoms, fractional coordinates:
Co  0.0000  0.0000  0.0000
Cu  0.5000  0.5000  0.0000
Ni  0.0000  0.5000  0.5000

# 7
DFT (PBE) results for a geometry-optimized LuHfRhAu structure.

Computed properties:
**Energy of formation from the pure elements**: -0.72 eV per atom
**Total DFT energy (no corrections)**: -0.514 Ry/atom

a b c (Å): 6.7768 6.7768 6.7768
angles (deg): 90.00 90.00 90.00
Space group F-43m (No. 216)
Inequivalent atoms, fractional coordinates:
Lu  0.0000  0.0000  0.0000
Hf  0.0000  0.0000  0.5000
Rh  0.2500  0.2500  0.7500
Au  0.2500  0.2500  0.2500

# 8
DFT (PBE) results for a geometry-optimized YTi2Ru2 structure.

Computed properties:
**Energy of formation from the pure elements**: -0.32 eV per atom
**Total DFT energy (no corrections)**: -0.624 Ry/atom

a b c (Å): 7.6018 7.6018 3.0638
angles (deg): 90.00 90.00 90.00
Space group P4/mbm (No. 127)
Inequivalent atoms, fractional coordinates:
Y  0.0000  0.0000  0.0000
Ti  0.1414  0.3586  0.5000
Ru  0.1456  0.6456  0.0000

Q: The lowest total DFT energy (no corrections) belongs to which entry?
A: YTi2Ru2

Q: What is the total DFT energy (no corrections) in the second record?
A: -0.191 Ry/atom